1.
VASP calculation (PBE) on a geometry-optimized Rb3CaNp2Se6 structure.

```
data_Rb3CaNp2Se6
_chemical_formula_sum 'Rb6 Ca2 Np4 Se12'
_symmetry_space_group_name_H-M 'C 1 2/m 1'
_symmetry_Int_Tables_number 12
_cell_length_a 7.458
_cell_length_b 12.919
_cell_length_c 8.343
_cell_angle_alpha 90.00
_cell_angle_beta 107.31
_cell_angle_gamma 90.00
loop_
_symmetry_equiv_pos_as_xyz
'x,y,z'
'-x,-y,-z'
'-x,y,-z'
'x,-y,z'
'x+1/2,y+1/2,z'
'-x+1/2,-y+1/2,-z'
'-x+1/2,y+1/2,-z'
'x+1/2,-y+1/2,z'
loop_
_atom_site_label
_atom_site_type_symbol
_atom_site_fract_x
_atom_site_fract_y
_atom_site_fract_z
Rb1 Rb 0.000 0.000 0.000
Rb2 Rb 0.000 0.337 0.000
Ca1 Ca 0.000 0.500 0.500
Np1 Np 0.000 0.167 0.500
Se1 Se 0.219 0.000 0.694
Se2 Se 0.238 0.327 0.695
```

- DOS at the Fermi energy: 37.38 states/eV/cell
- Uncorrected energy: -5.6885 eV per atom
- Crystal system: monoclinic
- Spin magnetization: 0.58 μB per atom
- Formation energy from raw total energies: -1.381 eV/atom

2.
VASP calculation (PBE) on a geometry-optimized Rb3CaNp3Te8 structure.

```
data_Rb3CaNp3Te8
_chemical_formula_sum 'Rb6 Ca2 Np6 Te16'
_symmetry_space_group_name_H-M 'C 1 2/m 1'
_symmetry_Int_Tables_number 12
_cell_length_a 15.661
_cell_length_b 9.047
_cell_length_c 10.065
_cell_angle_alpha 90.00
_cell_angle_beta 121.20
_cell_angle_gamma 90.00
loop_
_symmetry_equiv_pos_as_xyz
'x,y,z'
'-x,-y,-z'
'-x,y,-z'
'x,-y,z'
'x+1/2,y+1/2,z'
'-x+1/2,-y+1/2,-z'
'-x+1/2,y+1/2,-z'
'x+1/2,-y+1/2,z'
loop_
_atom_site_label
_atom_site_type_symbol
_atom_site_fract_x
_atom_site_fract_y
_atom_site_fract_z
Rb1 Rb 0.000 0.000 0.000
Rb2 Rb 0.250 0.250 0.000
Ca1 Ca 0.000 0.000 0.500
Np1 Np 0.000 0.500 0.500
Np2 Np 0.250 0.250 0.500
Te1 Te 0.021 0.261 0.302
Te2 Te 0.233 0.500 0.699
Te3 Te 0.240 0.000 0.698
```

- DOS at the Fermi energy: 58.02 states/eV/cell
- Uncorrected energy: -5.5266 eV per atom
- Crystal system: monoclinic
- Spin magnetization: 0.67 μB per atom
- Formation energy from raw total energies: -0.936 eV/atom

3.
VASP calculation (PBE) on a geometry-optimized Ca5NpRh6 structure.

```
data_Ca5NpRh6
_chemical_formula_sum 'Ca10 Np2 Rh12'
_symmetry_space_group_name_H-M 'I m m m'
_symmetry_Int_Tables_number 71
_symmetry_space_group_name_Hall '-I 2 2'
_cell_length_a 4.874
_cell_length_b 6.923
_cell_length_c 14.415
_cell_angle_alpha 90.00
_cell_angle_beta 90.00
_cell_angle_gamma 90.00
loop_
_atom_site_label
_atom_site_type_symbol
_atom_site_fract_x
_atom_site_fract_y
_atom_site_fract_z
Ca1 Ca 0.000 0.000 0.000
Ca2 Ca 0.000 0.000 0.319
Ca3 Ca 0.000 0.500 0.339
Np1 Np 0.000 0.500 0.000
Rh1 Rh 0.000 0.217 0.500
Rh2 Rh 0.000 0.279 0.148
```

- DOS at the Fermi energy: 19.82 states/eV/cell
- Uncorrected energy: -5.9777 eV per atom
- Crystal system: orthorhombic
- Spin magnetization: 0.17 μB per atom
- ΔH_f (0 K): -0.39 eV per atom

4.
VASP calculation (PBE) on a geometry-optimized CaNpRh2 structure.

```
data_CaNpRh2
_chemical_formula_sum 'Ca1 Np1 Rh2'
_symmetry_space_group_name_H-M 'P 4/m m m'
_symmetry_Int_Tables_number 123
_symmetry_space_group_name_Hall '-P 4 2'
_cell_length_a 3.352
_cell_length_b 3.352
_cell_length_c 7.254
_cell_angle_alpha 90.00
_cell_angle_beta 90.00
_cell_angle_gamma 90.00
loop_
_atom_site_label
_atom_site_type_symbol
_atom_site_fract_x
_atom_site_fract_y
_atom_site_fract_z
Ca1 Ca 0.000 0.000 0.000
Np1 Np 0.000 0.000 0.500
Rh1 Rh 0.500 0.500 0.285
```

- DOS at the Fermi energy: 7.36 states/eV/cell
- Uncorrected energy: -7.7715 eV per atom
- Crystal system: tetragonal
- Spin magnetization: 0.71 μB per atom
- ΔH_f (0 K): -0.36 eV per atom

5.
VASP calculation (PBE) on a geometry-optimized Ca5NpRh4 structure.

```
data_Ca5NpRh4
_chemical_formula_sum 'Ca10 Np2 Rh8'
_symmetry_space_group_name_H-M 'C 1 2/m 1'
_symmetry_Int_Tables_number 12
_cell_length_a 16.573
_cell_length_b 4.481
_cell_length_c 7.273
_cell_angle_alpha 90.00
_cell_angle_beta 107.25
_cell_angle_gamma 90.00
loop_
_symmetry_equiv_pos_as_xyz
'x,y,z'
'-x,-y,-z'
'-x,y,-z'
'x,-y,z'
'x+1/2,y+1/2,z'
'-x+1/2,-y+1/2,-z'
'-x+1/2,y+1/2,-z'
'x+1/2,-y+1/2,z'
loop_
_atom_site_label
_atom_site_type_symbol
_atom_site_fract_x
_atom_site_fract_y
_atom_site_fract_z
Ca1 Ca 0.000 0.000 0.000
Ca2 Ca 0.168 0.500 0.551
Ca3 Ca 0.170 0.500 0.052
Np1 Np 0.000 0.000 0.500
Rh1 Rh 0.009 0.500 0.713
Rh2 Rh 0.135 0.000 0.772
```

- DOS at the Fermi energy: 22.48 states/eV/cell
- Uncorrected energy: -5.5761 eV per atom
- Crystal system: monoclinic
- Spin magnetization: 0.24 μB per atom
- ΔH_f (0 K): -0.34 eV per atom

6.
VASP calculation (PBE) on a geometry-optimized CaNpRh4 structure.

```
data_CaNpRh4
_chemical_formula_sum 'Ca4 Np4 Rh16'
_symmetry_space_group_name_H-M 'F -4 3 m'
_symmetry_Int_Tables_number 216
_symmetry_space_group_name_Hall 'F -4 2 3'
_cell_length_a 7.535
_cell_length_b 7.535
_cell_length_c 7.535
_cell_angle_alpha 90.00
_cell_angle_beta 90.00
_cell_angle_gamma 90.00
loop_
_atom_site_label
_atom_site_type_symbol
_atom_site_fract_x
_atom_site_fract_y
_atom_site_fract_z
Ca1 Ca 0.000 0.000 0.000
Np1 Np 0.250 0.250 0.250
Rh1 Rh 0.125 0.125 0.625
```

- DOS at the Fermi energy: 38.44 states/eV/cell
- Uncorrected energy: -7.7558 eV per atom
- Crystal system: cubic
- Spin magnetization: 0.54 μB per atom
- ΔH_f (0 K): -0.36 eV per atom

7.
VASP calculation (PBE) on a geometry-optimized Ca3NpRh8 structure.

```
data_Ca3NpRh8
_chemical_formula_sum 'Ca9 Np3 Rh24'
_symmetry_space_group_name_H-M 'R 3 m'
_symmetry_Int_Tables_number 160
_symmetry_space_group_name_Hall 'R 3 -2"'
_cell_length_a 5.3391
_cell_length_b 5.3391
_cell_length_c 26.2034
_cell_angle_alpha 90.00
_cell_angle_beta 90.00
_cell_angle_gamma 120.00
loop_
_atom_site_label
_atom_site_type_symbol
_atom_site_fract_x
_atom_site_fract_y
_atom_site_fract_z
Ca1 Ca 0.0000 0.0000 0.0000
Ca2 Ca 0.0000 0.0000 0.1234
Ca3 Ca 0.0000 0.0000 0.6280
Np1 Np 0.0000 0.0000 0.5010
Rh1 Rh 0.0000 0.0000 0.3134
Rh2 Rh 0.0000 0.0000 0.8132
Rh3 Rh 0.0038 0.5019 0.0653
Rh4 Rh 0.1688 0.3376 0.8947
```

- DOS at the Fermi energy: 38.99 states/eV/cell
- Uncorrected energy: -6.8861 eV per atom
- Crystal system: trigonal
- Spin magnetization: 0.23 μB per atom
- ΔH_f (0 K): -0.41 eV per atom

8.
VASP calculation (PBE) on a geometry-optimized Ca2NpSb3Rh4 structure.

```
data_Ca2NpSb3Rh4
_chemical_formula_sum 'Ca2 Np1 Sb3 Rh4'
_symmetry_space_group_name_H-M 'P -4 m 2'
_symmetry_Int_Tables_number 115
_cell_length_a 4.422
_cell_length_b 4.422
_cell_length_c 11.313
_cell_angle_alpha 90.00
_cell_angle_beta 90.00
_cell_angle_gamma 90.00
loop_
_symmetry_equiv_pos_as_xyz
'x,y,z'
'y,-x,-z'
'-x,-y,z'
'-y,x,-z'
'-x,y,z'
'-y,-x,-z'
'x,-y,z'
'y,x,-z'
loop_
_atom_site_label
_atom_site_type_symbol
_atom_site_fract_x
_atom_site_fract_y
_atom_site_fract_z
Ca1 Ca 0.000 0.500 0.230
Np1 Np 0.000 0.000 0.500
Sb1 Sb 0.000 0.500 0.870
Sb2 Sb 0.500 0.500 0.500
Rh1 Rh 0.000 0.000 0.000
Rh2 Rh 0.000 0.500 0.641
Rh3 Rh 0.500 0.500 0.000
```

- DOS at the Fermi energy: 9.16 states/eV/cell
- Uncorrected energy: -6.5042 eV per atom
- Crystal system: tetragonal
- Spin magnetization: 0.37 μB per atom
- Formation energy from raw total energies: -0.633 eV/atom

9.
VASP calculation (PBE) on a geometry-optimized Ca2NpZn2Rh5 structure.

```
data_Ca2NpZn2Rh5
_chemical_formula_sum 'Ca4 Np2 Zn4 Rh10'
_symmetry_space_group_name_H-M 'P 4/m b m'
_symmetry_Int_Tables_number 127
_symmetry_space_group_name_Hall '-P 4 2ab'
_cell_length_a 9.863
_cell_length_b 9.863
_cell_length_c 3.648
_cell_angle_alpha 90.00
_cell_angle_beta 90.00
_cell_angle_gamma 90.00
loop_
_atom_site_label
_atom_site_type_symbol
_atom_site_fract_x
_atom_site_fract_y
_atom_site_fract_z
Ca1 Ca 0.170 0.330 0.000
Np1 Np 0.000 0.000 0.000
Zn1 Zn 0.125 0.625 0.000
Rh1 Rh 0.000 0.500 0.500
Rh2 Rh 0.066 0.801 0.500
```

- DOS at the Fermi energy: 22.97 states/eV/cell
- Uncorrected energy: -6.0614 eV per atom
- Crystal system: tetragonal
- Spin magnetization: 0.23 μB per atom
- ΔH_f (0 K): -0.44 eV per atom

10.
VASP calculation (PBE) on a geometry-optimized CaNpRu2 structure.

```
data_CaNpRu2
_chemical_formula_sum 'Ca4 Np4 Ru8'
_symmetry_space_group_name_H-M 'F m -3 m'
_symmetry_Int_Tables_number 225
_symmetry_space_group_name_Hall '-F 4 2 3'
_cell_length_a 6.707
_cell_length_b 6.707
_cell_length_c 6.707
_cell_angle_alpha 90.00
_cell_angle_beta 90.00
_cell_angle_gamma 90.00
loop_
_atom_site_label
_atom_site_type_symbol
_atom_site_fract_x
_atom_site_fract_y
_atom_site_fract_z
Ca1 Ca 0.000 0.000 0.000
Np1 Np 0.000 0.000 0.500
Ru1 Ru 0.250 0.250 0.250
```

- DOS at the Fermi energy: 26.72 states/eV/cell
- Uncorrected energy: -8.2685 eV per atom
- Crystal system: cubic
- Spin magnetization: 0.65 μB per atom
- ΔH_f (0 K): 0.10 eV per atom

11.
VASP calculation (PBE) on a geometry-optimized Ca2NpRu2 structure.

```
data_Ca2NpRu2
_chemical_formula_sum 'Ca8 Np4 Ru8'
_symmetry_space_group_name_H-M 'C 1 2/c 1'
_symmetry_Int_Tables_number 15
_cell_length_a 10.758
_cell_length_b 6.485
_cell_length_c 7.034
_cell_angle_alpha 90.00
_cell_angle_beta 95.01
_cell_angle_gamma 90.00
loop_
_symmetry_equiv_pos_as_xyz
'x,y,z'
'-x,-y,-z'
'-x,y,-z+1/2'
'x,-y,z+1/2'
'x+1/2,y+1/2,z'
'-x+1/2,-y+1/2,-z'
'-x+1/2,y+1/2,-z+1/2'
'x+1/2,-y+1/2,z+1/2'
loop_
_atom_site_label
_atom_site_type_symbol
_atom_site_fract_x
_atom_site_fract_y
_atom_site_fract_z
Ca1 Ca 0.148 0.119 0.141
Np1 Np 0.000 0.422 0.750
Ru1 Ru 0.143 0.348 0.531
```

- DOS at the Fermi energy: 30.12 states/eV/cell
- Uncorrected energy: -7.1276 eV per atom
- Crystal system: monoclinic
- Spin magnetization: 0.36 μB per atom
- ΔH_f (0 K): -0.03 eV per atom

12.
VASP calculation (PBE) on a geometry-optimized CaNpRu2 structure.

```
data_CaNpRu2
_chemical_formula_sum 'Ca1 Np1 Ru2'
_symmetry_space_group_name_H-M 'P 4/m m m'
_symmetry_Int_Tables_number 123
_symmetry_space_group_name_Hall '-P 4 2'
_cell_length_a 3.335
_cell_length_b 3.335
_cell_length_c 7.120
_cell_angle_alpha 90.00
_cell_angle_beta 90.00
_cell_angle_gamma 90.00
loop_
_atom_site_label
_atom_site_type_symbol
_atom_site_fract_x
_atom_site_fract_y
_atom_site_fract_z
Ca1 Ca 0.000 0.000 0.000
Np1 Np 0.000 0.000 0.500
Ru1 Ru 0.500 0.500 0.294
```

- DOS at the Fermi energy: 4.59 states/eV/cell
- Uncorrected energy: -8.4192 eV per atom
- Crystal system: tetragonal
- Spin magnetization: 0.53 μB per atom
- ΔH_f (0 K): -0.05 eV per atom